## CdWIO2 (GGA+U)

Data for CdWIO2 after structural relaxation.

Properties
- Energy relative to the lowest polymorph listed for this composition: 1.285 eV/atom
- Uncorrected energy: -16.82 eV/cell
- Volume: 23.1 A^3/atom

```
data_CdWIO2
_symmetry_space_group_name_H-M 'P 4/m m m'
_symmetry_Int_Tables_number 123
_symmetry_space_group_name_Hall '-P 4 2'
_cell_length_a 4.278
_cell_length_b 4.278
_cell_length_c 6.308
_cell_angle_alpha 90.00
_cell_angle_beta 90.00
_cell_angle_gamma 90.00
loop_
_atom_site_label
_atom_site_fract_x
_atom_site_fract_y
_atom_site_fract_z
Cd1 0.000 0.000 0.000
W1 0.500 0.500 0.500
I1 0.000 0.000 0.500
O1 0.000 0.500 0.000
```